Compound: TbHo3Pu
Source: Alexandria via LeMat-Bulk
Functional: GGA-PBE
Structure: optimized geometry

Cell: 7.8121 6.9739 6.0904 Å, 106.62 82.46 77.08°
Fractional positions:
Tb  0.8910  0.8526  0.8004
Tb  0.1090  0.1474  0.1996
Ho  0.8918  0.3525  0.8012
Pu  0.4998  0.2505  0.0002
Ho  0.6963  0.0499  0.3946
Pu  0.5002  0.7495  0.9998
Ho  0.3028  0.4510  0.6056
Ho  0.3037  0.9501  0.6054
Ho  0.1082  0.6475  0.1988
Ho  0.6972  0.5490  0.3944

Summary:
The space group is P-1. The value obtained for the density is 9.8 Mg/m³. The value obtained for the calculated total energy is -6.4693 eV per atom.